# SCAN TcAuIN2, PBEsol geometry
data_TcAuIN2
_cell_length_a 3.902
_cell_length_b 3.902
_cell_length_c 7.106
_cell_angle_alpha 90.00
_cell_angle_beta 90.00
_cell_angle_gamma 90.00
_symmetry_space_group_name_H-M 'P 4/m m m'
_symmetry_Int_Tables_number 123
_symmetry_space_group_name_Hall '-P 4 2'
loop_
_atom_site_label
_atom_site_fract_x
_atom_site_fract_y
_atom_site_fract_z
Tc1 0.000 0.000 0.000
Au1 0.500 0.500 0.500
I1 0.500 0.500 0.000
N1 0.000 0.500 0.500
# DOS at the Fermi energy = 3.29 states/eV/cell
# M_tot = 6.85 μB per cell
# ΔE_f (raw) = 190.9 kJ/mol of atoms

# SCAN Te2AuIN, PBEsol geometry
data_Te2AuIN
_cell_length_a 5.849
_cell_length_b 5.849
_cell_length_c 3.685
_cell_angle_alpha 90.00
_cell_angle_beta 90.00
_cell_angle_gamma 90.00
_symmetry_space_group_name_H-M 'P 4/m m m'
_symmetry_Int_Tables_number 123
_symmetry_space_group_name_Hall '-P 4 2'
loop_
_atom_site_label
_atom_site_fract_x
_atom_site_fract_y
_atom_site_fract_z
Te1 0.000 0.500 0.000
Au1 0.000 0.000 0.000
I1 0.500 0.500 0.500
N1 0.000 0.000 0.500
# DOS at the Fermi energy = 4.04 states/eV/cell
# M_tot = 0.00 μB per cell
# ΔE_f (raw) = 93.1 kJ/mol of atoms

# SCAN Na2SbAuI, PBEsol geometry
data_Na2SbAuI
_cell_length_a 5.358
_cell_length_b 5.358
_cell_length_c 5.546
_cell_angle_alpha 90.00
_cell_angle_beta 90.00
_cell_angle_gamma 90.00
_symmetry_space_group_name_H-M 'P 4/m m m'
_symmetry_Int_Tables_number 123
_symmetry_space_group_name_Hall '-P 4 2'
loop_
_atom_site_label
_atom_site_fract_x
_atom_site_fract_y
_atom_site_fract_z
Na1 0.000 0.500 0.000
Sb1 0.000 0.000 0.500
Au1 0.500 0.500 0.000
I1 0.500 0.500 0.500
# DOS at the Fermi energy = 3.12 states/eV/cell
# M_tot = 0.00 μB per cell
# ΔE_f (raw) = 7.5 kJ/mol of atoms

# SCAN NbSb2AuI, PBEsol geometry
data_NbSb2AuI
_cell_length_a 5.225
_cell_length_b 5.225
_cell_length_c 5.424
_cell_angle_alpha 90.00
_cell_angle_beta 90.00
_cell_angle_gamma 90.00
_symmetry_space_group_name_H-M 'P 4/m m m'
_symmetry_Int_Tables_number 123
_symmetry_space_group_name_Hall '-P 4 2'
loop_
_atom_site_label
_atom_site_fract_x
_atom_site_fract_y
_atom_site_fract_z
Nb1 0.000 0.000 0.000
Sb1 0.000 0.500 0.500
Au1 0.500 0.500 0.500
I1 0.500 0.500 0.000
# DOS at the Fermi energy = 4.57 states/eV/cell
# M_tot = 2.59 μB per cell
# ΔE_f (raw) = 99.5 kJ/mol of atoms

# SCAN TaNbAu2I, PBEsol geometry
data_TaNbAu2I
_cell_length_a 4.976
_cell_length_b 4.976
_cell_length_c 5.014
_cell_angle_alpha 90.00
_cell_angle_beta 90.00
_cell_angle_gamma 90.00
_symmetry_space_group_name_H-M 'P 4/m m m'
_symmetry_Int_Tables_number 123
_symmetry_space_group_name_Hall '-P 4 2'
loop_
_atom_site_label
_atom_site_fract_x
_atom_site_fract_y
_atom_site_fract_z
Ta1 0.000 0.000 0.000
Nb1 0.500 0.500 0.000
Au1 0.000 0.500 0.500
I1 0.500 0.500 0.500
# DOS at the Fermi energy = 3.50 states/eV/cell
# M_tot = 0.91 μB per cell
# ΔE_f (raw) = 190.4 kJ/mol of atoms

# SCAN NiAuIO2, PBEsol geometry
data_NiAuIO2
_cell_length_a 3.737
_cell_length_b 3.737
_cell_length_c 6.040
_cell_angle_alpha 90.00
_cell_angle_beta 90.00
_cell_angle_gamma 90.00
_symmetry_space_group_name_H-M 'P 4/m m m'
_symmetry_Int_Tables_number 123
_symmetry_space_group_name_Hall '-P 4 2'
loop_
_atom_site_label
_atom_site_fract_x
_atom_site_fract_y
_atom_site_fract_z
Ni1 0.000 0.000 0.000
Au1 0.500 0.500 0.500
I1 0.000 0.000 0.500
O1 0.000 0.500 0.000
# DOS at the Fermi energy = 3.03 states/eV/cell
# M_tot = 2.71 μB per cell
# excess energy over the best structure of this formula in the dataset = 48 meV per atom
# ΔE_f (raw) = 4.4 kJ/mol of atoms

# SCAN NiAuIO2, PBEsol geometry
data_NiAuIO2
_cell_length_a 3.737
_cell_length_b 3.737
_cell_length_c 5.790
_cell_angle_alpha 90.00
_cell_angle_beta 90.00
_cell_angle_gamma 90.00
_symmetry_space_group_name_H-M 'P 4/m m m'
_symmetry_Int_Tables_number 123
_symmetry_space_group_name_Hall '-P 4 2'
loop_
_atom_site_label
_atom_site_fract_x
_atom_site_fract_y
_atom_site_fract_z
Ni1 0.000 0.000 0.000
Au1 0.000 0.000 0.500
I1 0.500 0.500 0.500
O1 0.000 0.500 0.000
# DOS at the Fermi energy = 2.73 states/eV/cell
# M_tot = 2.77 μB per cell
# excess energy over the best structure of this formula in the dataset = 0 meV per atom
# ΔE_f (raw) = -0.2 kJ/mol of atoms

# SCAN YNiAu2I, PBEsol geometry
data_YNiAu2I
_cell_length_a 5.108
_cell_length_b 5.108
_cell_length_c 5.536
_cell_angle_alpha 90.00
_cell_angle_beta 90.00
_cell_angle_gamma 90.00
_symmetry_space_group_name_H-M 'P 4/m m m'
_symmetry_Int_Tables_number 123
_symmetry_space_group_name_Hall '-P 4 2'
loop_
_atom_site_label
_atom_site_fract_x
_atom_site_fract_y
_atom_site_fract_z
Y1 0.000 0.000 0.000
Ni1 0.500 0.500 0.000
Au1 0.000 0.500 0.500
I1 0.000 0.000 0.500
# DOS at the Fermi energy = 6.66 states/eV/cell
# M_tot = 0.97 μB per cell
# ΔE_f (raw) = 100.8 kJ/mol of atoms